[1]
## CaOs3Pd (GGA-PBE)

Data for a geometry-optimized CaOs3Pd structure.

a b c (Å): 4.798 4.798 4.798
angles (deg): 90.00 90.00 90.00
Space group Pm-3m (No. 221)
Asymmetric unit:
Ca (0.000, 0.000, 0.000)
Os (0.000, 0.500, 0.500)
Pd (0.500, 0.500, 0.500)

Computed properties:
The spin magnetization comes out at 3.88 μB/cell. For the uncorrected energy, the calculation gives -6.1182 eV per atom.

***

[2]
## BiSb2F8 (GGA-PBE)

Data for a geometry-optimized BiSb2F8 structure.

a b c (Å): 11.180 5.904 6.067
angles (deg): 90.00 90.26 90.00
Space group C2/m (No. 12)
Asymmetric unit:
Bi (0.000, 0.000, 0.000)
Sb (0.247, 0.000, 0.592)
F (0.102, 0.000, 0.320)
F (0.130, 0.500, 0.172)
F (0.137, 0.210, 0.787)

Computed properties:
The spin magnetization comes out at 0.00 μB/cell. For the energy relative to the elements, uncorrected, the calculation gives -2.140 eV/atom.

***

[3]
## Ta2P2W (GGA-PBE)

Data for a geometry-optimized Ta2P2W structure.

a b c (Å): 6.662 6.662 3.385
angles (deg): 90.00 90.00 90.00
Space group P4/mbm (No. 127)
Asymmetric unit:
Ta (0.153, 0.347, 0.000)
P (0.147, 0.647, 0.500)
W (0.000, 0.000, 0.500)

Computed properties:
The spin magnetization comes out at 0.00 μB/cell. For the uncorrected energy, the calculation gives -9.9259 eV per atom.

***

[4]
## Li2CuTeH (GGA-PBE)

Data for a geometry-optimized Li2CuTeH structure.

a b c (Å): 4.184 4.184 3.936
angles (deg): 90.00 90.00 90.00
Space group P4/mmm (No. 123)
Asymmetric unit:
Li (0.000, 0.500, 0.000)
Cu (0.000, 0.000, 0.500)
Te (0.500, 0.500, 0.500)
H (0.000, 0.000, 0.000)

Computed properties:
The spin magnetization comes out at 0.00 μB/cell. For the uncorrected energy, the calculation gives -3.3146 eV per atom.

***

[5]
## SmHo2NpP4 (GGA-PBE)

Data for a geometry-optimized SmHo2NpP4 structure.

a b c (Å): 6.930 4.001 6.944
angles (deg): 90.00 109.34 90.00
Space group P2/m (No. 10)
Asymmetric unit:
Sm (0.000, 0.000, 0.000)
Ho (0.500, 0.000, 0.500)
Ho (0.500, 0.500, 0.000)
Np (0.000, 0.500, 0.500)
P (0.249, 0.000, 0.744)
P (0.252, 0.500, 0.258)

Computed properties:
The spin magnetization comes out at 3.63 μB/cell. For the uncorrected energy, the calculation gives -7.4619 eV per atom.

***

[6]
## Er8GePb5 (GGA-PBE)

Data for a geometry-optimized Er8GePb5 structure.

a b c (Å): 9.208 9.208 9.298
angles (deg): 90.00 90.00 90.00
Space group I-4 (No. 82)
Asymmetric unit:
Er (0.068, 0.193, 0.304)
Er (0.071, 0.324, 0.953)
Ge (0.000, 0.500, 0.250)
Pb (0.000, 0.000, 0.000)
Pb (0.121, 0.250, 0.628)

Computed properties:
The spin magnetization comes out at 0.00 μB/cell. For the uncorrected energy, the calculation gives -4.8138 eV per atom.

***

[7]
## Ca4ReAg (GGA-PBE)

Data for a geometry-optimized Ca4ReAg structure.

a b c (Å): 8.746 8.746 8.746
angles (deg): 90.00 90.00 90.00
Space group F-43m (No. 216)
Asymmetric unit:
Ca (0.124, 0.124, 0.124)
Re (0.250, 0.250, 0.750)
Ag (0.000, 0.000, 0.500)

Computed properties:
The spin magnetization comes out at 7.69 μB/cell. For the uncorrected energy, the calculation gives -2.7708 eV per atom.

***

[8]
## RbZn3In (GGA-PBE)

Data for a geometry-optimized RbZn3In structure.

a b c (Å): 6.180 6.180 6.180
angles (deg): 90.00 90.00 90.00
Space group Pm-3m (No. 221)
Asymmetric unit:
Rb (0.000, 0.000, 0.000)
Zn (0.000, 0.000, 0.500)
In (0.500, 0.500, 0.500)

Computed properties:
The spin magnetization comes out at 0.00 μB/cell. For the uncorrected energy, the calculation gives -0.6156 eV per atom.

***

[9]
## Ba2CeTlO6 (GGA-PBE)

Data for a geometry-optimized Ba2CeTlO6 structure.

a b c (Å): 6.246 6.214 10.777
angles (deg): 90.00 125.34 90.00
Space group P2_1/c (No. 14)
Asymmetric unit:
Ba (0.243, 0.018, 0.249)
Ce (0.500, 0.000, 0.000)
Tl (0.000, 0.000, 0.500)
O (0.196, 0.226, 0.964)
O (0.236, 0.732, 0.963)
O (0.320, 0.011, 0.753)

Computed properties:
The spin magnetization comes out at 1.40 μB/cell. For the energy relative to the elements, uncorrected, the calculation gives -2.247 eV/atom.

***

[10]
## LiMgV2Cu (GGA-PBE)

Data for a geometry-optimized LiMgV2Cu structure.

a b c (Å): 4.150 4.150 4.507
angles (deg): 90.00 90.00 90.00
Space group P4/mmm (No. 123)
Asymmetric unit:
Li (0.000, 0.000, 0.000)
Mg (0.000, 0.000, 0.500)
V (0.000, 0.500, 0.000)
Cu (0.500, 0.500, 0.500)

Computed properties:
The spin magnetization comes out at 1.45 μB/cell. For the uncorrected energy, the calculation gives -3.9405 eV per atom.

***

[11]
## Cu2HgMo (GGA-PBE)

Data for a geometry-optimized Cu2HgMo structure.

a b c (Å): 6.311 6.311 6.311
angles (deg): 90.00 90.00 90.00
Space group F-43m (No. 216)
Asymmetric unit:
Cu (0.000, 0.000, 0.000)
Cu (0.250, 0.250, 0.250)
Hg (0.000, 0.000, 0.500)
Mo (0.250, 0.250, 0.750)

Computed properties:
The spin magnetization comes out at 6.93 μB/cell. For the uncorrected energy, the calculation gives -4.2287 eV per atom.

***

[12]
## Ce6HIr3 (GGA-PBE)

Data for a geometry-optimized Ce6HIr3 structure.

a b c (Å): 6.535 7.284 11.686
angles (deg): 90.00 121.75 90.00
Space group P2_1/c (No. 14)
Asymmetric unit:
Ce (0.085, 0.187, 0.428)
Ce (0.271, 0.659, 0.437)
Ce (0.405, 0.052, 0.240)
H (0.000, 0.000, 0.000)
Ir (0.175, 0.120, 0.727)
Ir (0.500, 0.000, 0.500)

Computed properties:
The spin magnetization comes out at 6.96 μB/cell. For the uncorrected energy, the calculation gives -7.0778 eV per atom.

***

[13]
## NdSn6Ru4 (GGA-PBE)

Data for a geometry-optimized NdSn6Ru4 structure.

a b c (Å): 6.944 6.944 9.880
angles (deg): 90.00 90.00 90.00
Space group I-42m (No. 121)
Asymmetric unit:
Nd (0.000, 0.000, 0.000)
Sn (0.000, 0.500, 0.000)
Sn (0.177, 0.177, 0.705)
Ru (0.172, 0.172, 0.421)

Computed properties:
The spin magnetization comes out at 0.00 μB/cell. For the uncorrected energy, the calculation gives -6.3294 eV per atom.

***

[14]
## Rb2NaBr3 (GGA-PBE)

Data for a geometry-optimized Rb2NaBr3 structure.

a b c (Å): 14.998 6.904 9.300
angles (deg): 90.00 108.06 90.00
Space group C2/c (No. 15)
Asymmetric unit:
Rb (0.171, 0.000, 0.086)
Na (0.000, 0.466, 0.250)
Br (0.000, 0.032, 0.250)
Br (0.145, 0.500, 0.072)

Computed properties:
The spin magnetization comes out at 0.00 μB/cell. For the energy relative to the elements, uncorrected, the calculation gives -1.654 eV/atom.

***

[15]
## Ce6Zn2CoH (GGA-PBE)

Data for a geometry-optimized Ce6Zn2CoH structure.

a b c (Å): 5.989 5.991 5.992
angles (deg): 83.83 83.93 83.89
Space group P-1 (No. 2)
Asymmetric unit:
Ce (0.103, 0.260, 0.342)
Ce (0.241, 0.158, 0.898)
Ce (0.342, 0.603, 0.760)
Zn (0.261, 0.761, 0.262)
Co (0.500, 0.000, 0.500)
H (0.000, 0.500, 0.000)

Computed properties:
The spin magnetization comes out at 0.00 μB/cell. For the uncorrected energy, the calculation gives -4.9875 eV per atom.

***

[16]
## Rb4IrO4 (GGA-PBE)

Data for a geometry-optimized Rb4IrO4 structure.

a b c (Å): 8.402 8.402 5.685
angles (deg): 90.00 90.00 90.00
Space group I4/m (No. 87)
Asymmetric unit:
Rb (0.103, 0.708, 0.000)
Ir (0.000, 0.000, 0.500)
O (0.067, 0.778, 0.500)

Computed properties:
The spin magnetization comes out at 6.11 μB/cell. For the energy relative to the elements, uncorrected, the calculation gives -1.161 eV/atom.

***

[17]
## LiPu2Co3H12 (GGA-PBE)

Data for a geometry-optimized LiPu2Co3H12 structure.

a b c (Å): 5.8248 5.8248 13.9762
angles (deg): 90.00 90.00 120.00
Space group R-3m (No. 166, hexagonal axes)
Asymmetric unit:
Li (0.0000, 0.0000, 0.0000)
Pu (0.0000, 0.0000, 0.3874)
Co (0.0000, 0.5000, 0.5000)
H (0.0065, 0.5033, 0.3877)
H (0.0340, 0.5170, 0.8303)

Computed properties:
The spin magnetization comes out at 38.32 μB/cell. For the uncorrected energy, the calculation gives -5.3160 eV per atom.

***

[18]
## Ce7Ru2Pb2 (GGA-PBE)

Data for a geometry-optimized Ce7Ru2Pb2 structure.

a b c (Å): 11.553 8.091 6.785
angles (deg): 90.00 90.14 90.00
Space group C2/m (No. 12)
Asymmetric unit:
Ce (0.000, 0.000, 0.000)
Ce (0.000, 0.500, 0.200)
Ce (0.250, 0.250, 0.267)
Ru (0.234, 0.500, 0.000)
Pb (0.000, 0.186, 0.500)

Computed properties:
The spin magnetization comes out at 9.63 μB/cell. For the uncorrected energy, the calculation gives -6.3196 eV per atom.

***

[19]
## GaRu2F (GGA-PBE)

Data for a geometry-optimized GaRu2F structure.

a b c (Å): 6.749 6.749 4.941
angles (deg): 90.00 90.00 90.00
Space group I-42d (No. 122)
Asymmetric unit:
Ga (0.000, 0.000, 0.000)
Ru (0.204, 0.250, 0.625)
F (0.000, 0.000, 0.500)

Computed properties:
The spin magnetization comes out at 0.02 μB/cell. For the energy relative to the elements, uncorrected, the calculation gives 0.244 eV/atom.

***

[20]
## Mn2CuP (GGA-PBE)

Data for a geometry-optimized Mn2CuP structure.

a b c (Å): 3.937 3.937 2.805
angles (deg): 90.00 90.00 90.00
Space group P4/mmm (No. 123)
Asymmetric unit:
Mn (0.000, 0.500, 0.000)
Cu (0.000, 0.000, 0.500)
P (0.500, 0.500, 0.500)

Computed properties:
The spin magnetization comes out at 0.05 μB/cell. For the uncorrected energy, the calculation gives -6.9281 eV per atom.

***

[21]
## TbMg2Zr (GGA-PBE)

Data for a geometry-optimized TbMg2Zr structure.

a b c (Å): 3.634 3.634 7.400
angles (deg): 90.00 90.00 90.00
Space group P4/mmm (No. 123)
Asymmetric unit:
Tb (0.000, 0.000, 0.000)
Mg (0.500, 0.500, 0.271)
Zr (0.000, 0.000, 0.500)

Computed properties:
The spin magnetization comes out at 0.00 μB/cell. For the uncorrected energy, the calculation gives -4.0686 eV per atom.

***

[22]
## Nd2YBi2N2 (GGA-PBE)

Data for a geometry-optimized Nd2YBi2N2 structure.

a b c (Å): 4.538 4.538 16.291
angles (deg): 90.00 90.00 90.00
Space group I4/mmm (No. 139)
Asymmetric unit:
Nd (0.000, 0.000, 0.092)
Y (0.000, 0.000, 0.500)
Bi (0.000, 0.000, 0.286)
N (0.000, 0.500, 0.000)

Computed properties:
The spin magnetization comes out at 0.00 μB/cell. For the energy relative to the elements, uncorrected, the calculation gives -0.870 eV/atom.

***

[23]
## KLiO2 (GGA-PBE)

Data for a geometry-optimized KLiO2 structure.

a b c (Å): 3.2473 3.2473 19.0908
angles (deg): 90.00 90.00 120.00
Space group R-3m (No. 166, hexagonal axes)
Asymmetric unit:
K (0.0000, 0.0000, 0.0000)
Li (0.0000, 0.0000, 0.5000)
O (0.0000, 0.0000, 0.1216)

Computed properties:
The spin magnetization comes out at 6.00 μB/cell. For the energy relative to the elements, uncorrected, the calculation gives -0.436 eV/atom.